1.
This record from Alexandria describes an optimized crystal structure of BeVGaCl2. The functional is PBE.

Computed properties:
**Polymorph energy (0 for the lowest one)**: 0.054 eV per formula unit
**Formation energy from raw total energies**: 215 kJ/mol of formula units
**M_tot**: 0.00 Bohr magnetons per cell
**Energy**: -3.466 eV per atom
**V**: 19.0 A^3/atom

The structure in CIF format:
```
data_BeVGaCl2
_chemical_formula_sum 'Be1 V1 Ga1 Cl2'
_space_group_name_H-M_alt 'P 4/m m m'
_space_group_IT_number 123
_space_group_name_Hall '-P 4 2'
_cell_length_a 4.1628
_cell_length_b 4.1628
_cell_length_c 5.4712
_cell_angle_alpha 90.00
_cell_angle_beta 90.00
_cell_angle_gamma 90.00
loop_
_atom_site_label
_atom_site_fract_x
_atom_site_fract_y
_atom_site_fract_z
Be1 0.0000 0.0000 0.0000
V1 0.0000 0.0000 0.5000
Ga1 0.5000 0.5000 0.5000
Cl1 0.0000 0.5000 0.0000
```

***

2.
This record from Alexandria describes an optimized crystal structure of BeVGaCl2. The functional is PBE.

Computed properties:
**Polymorph energy (0 for the lowest one)**: 0.000 eV per formula unit
**Formation energy from raw total energies**: 210 kJ/mol of formula units
**M_tot**: 0.58 Bohr magnetons per cell
**Energy**: -3.477 eV per atom
**V**: 24.2 A^3/atom

The structure in CIF format:
```
data_BeVGaCl2
_chemical_formula_sum 'Be1 V1 Ga1 Cl2'
_space_group_name_H-M_alt 'P 4/m m m'
_space_group_IT_number 123
_space_group_name_Hall '-P 4 2'
_cell_length_a 4.0589
_cell_length_b 4.0589
_cell_length_c 7.3306
_cell_angle_alpha 90.00
_cell_angle_beta 90.00
_cell_angle_gamma 90.00
loop_
_atom_site_label
_atom_site_fract_x
_atom_site_fract_y
_atom_site_fract_z
Be1 0.0000 0.0000 0.0000
V1 0.5000 0.5000 0.5000
Ga1 0.0000 0.0000 0.5000
Cl1 0.0000 0.5000 0.0000
```

***

3.
This record from Alexandria describes an optimized crystal structure of ZrBe2GaCl. The functional is PBE.

Computed properties:
**Formation energy from raw total energies**: 394 kJ/mol of formula units
**M_tot**: 0.00 Bohr magnetons per cell
**Energy**: -3.358 eV per atom
**V**: 24.6 A^3/atom

The structure in CIF format:
```
data_ZrBe2GaCl
_chemical_formula_sum 'Zr1 Be2 Ga1 Cl1'
_space_group_name_H-M_alt 'P 4/m m m'
_space_group_IT_number 123
_space_group_name_Hall '-P 4 2'
_cell_length_a 5.0094
_cell_length_b 5.0094
_cell_length_c 4.8979
_cell_angle_alpha 90.00
_cell_angle_beta 90.00
_cell_angle_gamma 90.00
loop_
_atom_site_label
_atom_site_fract_x
_atom_site_fract_y
_atom_site_fract_z
Zr1 0.0000 0.0000 0.0000
Be1 0.0000 0.5000 0.0000
Ga1 0.5000 0.5000 0.5000
Cl1 0.0000 0.0000 0.5000
```

***

4.
This record from Alexandria describes an optimized crystal structure of BeGeCl2. The functional is PBE.

Computed properties:
**Polymorph energy (0 for the lowest one)**: 3.931 eV per formula unit
**Formation energy from raw total energies**: 161 kJ/mol of formula units
**M_tot**: 1.25 Bohr magnetons per cell
**Energy**: -2.592 eV per atom
**V**: 19.2 A^3/atom

The structure in CIF format:
```
data_BeGeCl2
_chemical_formula_sum 'Be4 Ge4 Cl8'
_space_group_name_H-M_alt 'F m -3 m'
_space_group_IT_number 225
_space_group_name_Hall '-F 4 2 3'
_cell_length_a 6.7524
_cell_length_b 6.7524
_cell_length_c 6.7524
_cell_angle_alpha 90.00
_cell_angle_beta 90.00
_cell_angle_gamma 90.00
loop_
_atom_site_label
_atom_site_fract_x
_atom_site_fract_y
_atom_site_fract_z
Be1 0.0000 0.0000 0.0000
Ge1 0.0000 0.0000 0.5000
Cl1 0.2500 0.2500 0.2500
```

***

5.
This record from Alexandria describes an optimized crystal structure of BeGe2Cl. The functional is PBE.

Computed properties:
**Polymorph energy (0 for the lowest one)**: 0.000 eV per formula unit
**Formation energy from raw total energies**: 112 kJ/mol of formula units
**M_tot**: 0.00 Bohr magnetons per cell
**Energy**: -3.411 eV per atom
**V**: 22.3 A^3/atom

The structure in CIF format:
```
data_BeGe2Cl
_chemical_formula_sum 'Be4 Ge8 Cl4'
_space_group_name_H-M_alt 'I -4 2 d'
_space_group_IT_number 122
_space_group_name_Hall 'I -4 2bw'
_cell_length_a 5.5373
_cell_length_b 5.5373
_cell_length_c 11.6448
_cell_angle_alpha 90.00
_cell_angle_beta 90.00
_cell_angle_gamma 90.00
loop_
_atom_site_label
_atom_site_fract_x
_atom_site_fract_y
_atom_site_fract_z
Be1 0.0000 0.0000 0.0000
Ge1 0.1505 0.2500 0.1250
Cl1 0.0000 0.0000 0.5000
```

***

6.
This record from Alexandria describes an optimized crystal structure of BeGe2Cl. The functional is PBE.

Computed properties:
**Polymorph energy (0 for the lowest one)**: 1.255 eV per formula unit
**Formation energy from raw total energies**: 233 kJ/mol of formula units
**M_tot**: 0.00 Bohr magnetons per cell
**Energy**: -3.097 eV per atom
**V**: 17.6 A^3/atom

The structure in CIF format:
```
data_BeGe2Cl
_chemical_formula_sum 'Be4 Ge8 Cl4'
_space_group_name_H-M_alt 'F m -3 m'
_space_group_IT_number 225
_space_group_name_Hall '-F 4 2 3'
_cell_length_a 6.5606
_cell_length_b 6.5606
_cell_length_c 6.5606
_cell_angle_alpha 90.00
_cell_angle_beta 90.00
_cell_angle_gamma 90.00
loop_
_atom_site_label
_atom_site_fract_x
_atom_site_fract_y
_atom_site_fract_z
Be1 0.0000 0.0000 0.0000
Ge1 0.2500 0.2500 0.2500
Cl1 0.0000 0.0000 0.5000
```

***

Copy entry 5 word for word.
This record from Alexandria describes an optimized crystal structure of BeGe2Cl. The functional is PBE.

Computed properties:
**Polymorph energy (0 for the lowest one)**: 0.000 eV per formula unit
**Formation energy from raw total energies**: 112 kJ/mol of formula units
**M_tot**: 0.00 Bohr magnetons per cell
**Energy**: -3.411 eV per atom
**V**: 22.3 A^3/atom

The structure in CIF format:
```
data_BeGe2Cl
_chemical_formula_sum 'Be4 Ge8 Cl4'
_space_group_name_H-M_alt 'I -4 2 d'
_space_group_IT_number 122
_space_group_name_Hall 'I -4 2bw'
_cell_length_a 5.5373
_cell_length_b 5.5373
_cell_length_c 11.6448
_cell_angle_alpha 90.00
_cell_angle_beta 90.00
_cell_angle_gamma 90.00
loop_
_atom_site_label
_atom_site_fract_x
_atom_site_fract_y
_atom_site_fract_z
Be1 0.0000 0.0000 0.0000
Ge1 0.1505 0.2500 0.1250
Cl1 0.0000 0.0000 0.5000
```

***

Please write out number 1 again, unchanged.
This record from Alexandria describes an optimized crystal structure of BeVGaCl2. The functional is PBE.

Computed properties:
**Polymorph energy (0 for the lowest one)**: 0.054 eV per formula unit
**Formation energy from raw total energies**: 215 kJ/mol of formula units
**M_tot**: 0.00 Bohr magnetons per cell
**Energy**: -3.466 eV per atom
**V**: 19.0 A^3/atom

The structure in CIF format:
```
data_BeVGaCl2
_chemical_formula_sum 'Be1 V1 Ga1 Cl2'
_space_group_name_H-M_alt 'P 4/m m m'
_space_group_IT_number 123
_space_group_name_Hall '-P 4 2'
_cell_length_a 4.1628
_cell_length_b 4.1628
_cell_length_c 5.4712
_cell_angle_alpha 90.00
_cell_angle_beta 90.00
_cell_angle_gamma 90.00
loop_
_atom_site_label
_atom_site_fract_x
_atom_site_fract_y
_atom_site_fract_z
Be1 0.0000 0.0000 0.0000
V1 0.0000 0.0000 0.5000
Ga1 0.5000 0.5000 0.5000
Cl1 0.0000 0.5000 0.0000
```

***

Which of these has the highest M_tot?
BeGeCl2

***

The highest energy belongs to which entry?
BeGeCl2